Material: Sr8Al7
Method: DFT, SCAN
State: single point on PBEsol structure

a b c (Å): 12.6076 12.6076 12.6076
angles (deg): 90.00 90.00 90.00
With the nearest neighbours (Å) after each atom.
Positions (direct):
Sr  0.8132  0.8132  0.8132  6 Al 3.42-3.44
Sr  0.6868  0.1868  0.3132  6 Al 3.42-3.44
Sr  0.3132  0.6868  0.1868  6 Al 3.42-3.44
Sr  0.1868  0.3132  0.6868  6 Al 3.42-3.44
Sr  0.1848  0.1848  0.1848  6 Al 3.43-3.50
Sr  0.3152  0.8152  0.6848  6 Al 3.43-3.50
Sr  0.6848  0.3152  0.8152  6 Al 3.43-3.50
Sr  0.8152  0.6848  0.3152  6 Al 3.43-3.50
Sr  0.8034  0.5595  0.0058  5 Al 3.30-3.58
Sr  0.0058  0.8034  0.5595  5 Al 3.30-3.58
Sr  0.5595  0.0058  0.8034  5 Al 3.30-3.58
Sr  0.9405  0.9942  0.3034  5 Al 3.30-3.58
Sr  0.5058  0.6966  0.4405  5 Al 3.30-3.58
Sr  0.4405  0.5058  0.6966  5 Al 3.30-3.58
Sr  0.4942  0.1966  0.0595  5 Al 3.30-3.58
Sr  0.9942  0.3034  0.9405  5 Al 3.30-3.58
Sr  0.0595  0.4942  0.1966  5 Al 3.30-3.58
Sr  0.3034  0.9405  0.9942  5 Al 3.30-3.58
Sr  0.1966  0.0595  0.4942  5 Al 3.30-3.58
Sr  0.6966  0.4405  0.5058  5 Al 3.30-3.58
Sr  0.5225  0.7042  0.9363  6 Al 3.31-3.59
Sr  0.9363  0.5225  0.7042  6 Al 3.31-3.59
Sr  0.7042  0.9363  0.5225  6 Al 3.31-3.59
Sr  0.7958  0.0637  0.0225  6 Al 3.31-3.59
Sr  0.4363  0.9775  0.2958  6 Al 3.31-3.59
Sr  0.2958  0.4363  0.9775  6 Al 3.31-3.59
Sr  0.5637  0.4775  0.2042  6 Al 3.31-3.59
Sr  0.0637  0.0225  0.7958  6 Al 3.31-3.59
Sr  0.2042  0.5637  0.4775  6 Al 3.31-3.59
Sr  0.0225  0.7958  0.0637  6 Al 3.31-3.59
Sr  0.4775  0.2042  0.5637  6 Al 3.31-3.59
Sr  0.9775  0.2958  0.4363  6 Al 3.31-3.59
Al  0.4312  0.4312  0.4312  3 Al 2.73
Al  0.0688  0.5688  0.9312  3 Al 2.73
Al  0.9312  0.0688  0.5688  3 Al 2.73
Al  0.5688  0.9312  0.0688  3 Al 2.73
Al  0.7526  0.1908  0.5762  3 Al 2.69-2.73
Al  0.5762  0.7526  0.1908  3 Al 2.69-2.73
Al  0.1908  0.5762  0.7526  3 Al 2.69-2.73
Al  0.3092  0.4238  0.2526  3 Al 2.69-2.73
Al  0.0762  0.7474  0.8092  3 Al 2.69-2.73
Al  0.8092  0.0762  0.7474  3 Al 2.69-2.73
Al  0.9238  0.2474  0.6908  3 Al 2.69-2.73
Al  0.4238  0.2526  0.3092  3 Al 2.69-2.73
Al  0.6908  0.9238  0.2474  3 Al 2.69-2.73
Al  0.2526  0.3092  0.4238  3 Al 2.69-2.73
Al  0.2474  0.6908  0.9238  3 Al 2.69-2.73
Al  0.7474  0.8092  0.0762  3 Al 2.69-2.73
Al  0.7527  0.6850  0.5803  2 Al 2.68
Al  0.5803  0.7527  0.6850  2 Al 2.68
Al  0.6850  0.5803  0.7527  2 Al 2.68
Al  0.8150  0.4197  0.2527  2 Al 2.68
Al  0.0803  0.7473  0.3150  2 Al 2.68
Al  0.3150  0.0803  0.7473  2 Al 2.68
Al  0.9197  0.2473  0.1850  2 Al 2.68
Al  0.4197  0.2527  0.8150  2 Al 2.68
Al  0.1850  0.9197  0.2473  2 Al 2.68
Al  0.2527  0.8150  0.4197  2 Al 2.68
Al  0.2473  0.1850  0.9197  2 Al 2.68
Al  0.7473  0.3150  0.0803  2 Al 2.68

Properties
space group	No. 198
theoretical density	2.9	g/cm³
N(E_F)	0.27	states/eV/atom
ΔE_f	-3.3	eV per formula unit

***

Material: K4BaRu
Method: DFT, SCAN
State: single point on PBEsol structure

a b c (Å): 7.1751 7.1751 7.1751
angles (deg): 60.00 60.00 60.00
With the nearest neighbours (Å) after each atom.
Positions (direct):
Ba  0.0000  0.0000  0.0000  12 K 4.22, 4 Ru 4.39
K  0.3781  0.3781  0.3781  6 K 3.50-3.68
K  0.3781  0.3781  0.8658  6 K 3.50-3.68
K  0.8658  0.3781  0.3781  6 K 3.50-3.68
K  0.3781  0.8658  0.3781  6 K 3.50-3.68
Ru  0.7500  0.7500  0.7500  12 K 4.20, 4 Ba 4.39

Properties
space group	No. 216
theoretical density	2.5	g/cm³
N(E_F)	0.88	states/eV/atom
ΔE_f	5.6	eV per formula unit

***

Material: ScNi3Pd
Method: DFT, SCAN
State: single point on PBEsol structure

a b c (Å): 4.2404 4.2404 4.2404
angles (deg): 90.00 90.00 90.00
With the nearest neighbours (Å) after each atom.
Positions (direct):
Sc  0.0000  0.0000  0.0000  6 Ni 2.12
Ni  0.0000  0.5000  0.0000  2 Sc 2.12
Ni  0.0000  0.0000  0.5000  2 Sc 2.12
Ni  0.5000  0.0000  0.0000  2 Sc 2.12
Pd  0.5000  0.5000  0.5000  12 Ni 3.00

Properties
space group	No. 221
theoretical density	7.1	g/cm³
N(E_F)	0.67	states/eV/atom
ΔE_f	5.6	eV per formula unit

***

| no. | size of the total moment (μB per cell) |
| --- | --- |
| 1 | 10.68 |
| 2 | 1.46 |
| 3 | 0.00 |